[1]
Compound: TiSnOs2
Source: the Alexandria database
Functional: GGA-PBE
Structure: optimized geometry

a = 3.9762 Å, b = 7.9595 Å, c = 8.2078 Å
α = 90.00°, β = 90.00°, γ = 90.00°
With the nearest neighbours (Å) after each atom.
Element x y z (fractional)
Ti 0.5000 0.7656 0.1648  5 Os 2.62-2.73, 3 Sn 2.77-2.92
Sn 0.5000 0.5000 0.4155  4 Ti 2.77-2.95, 6 Os 2.79-2.83
Ti 0.5000 0.7344 0.6648  5 Os 2.62-2.73, 3 Sn 2.77-2.92
Os 0.0000 0.7452 0.3892  4 Ti 2.71-3.01, 4 Os 2.76-2.97, 4 Sn 2.78-2.94
Os 0.5000 0.0000 0.3889  2 Ti 2.62, 6 Os 2.73-2.84, 2 Sn 2.76
Os 0.0000 0.0000 0.1617  6 Os 2.73-2.97, 4 Ti 2.73, 2 Sn 2.83
Sn 0.5000 0.0000 0.9155  4 Ti 2.77-2.95, 6 Os 2.79-2.83
Os 0.0000 0.5000 0.6617  6 Os 2.73-2.97, 4 Ti 2.73, 2 Sn 2.83
Os 0.0000 0.7548 0.8892  4 Ti 2.71-3.01, 4 Os 2.76-2.97, 4 Sn 2.78-2.94
Os 0.0000 0.2548 0.3892  4 Ti 2.71-3.01, 4 Os 2.76-2.97, 4 Sn 2.78-2.94
Sn 0.0000 0.5000 0.1213  6 Os 2.76-2.94, 4 Ti 2.92
Sn 0.0000 0.0000 0.6213  6 Os 2.76-2.94, 4 Ti 2.92
Ti 0.5000 0.2656 0.6648  5 Os 2.62-2.73, 3 Sn 2.77-2.92
Os 0.5000 0.5000 0.8889  2 Ti 2.62, 6 Os 2.73-2.84, 2 Sn 2.76
Ti 0.5000 0.2344 0.1648  5 Os 2.62-2.73, 3 Sn 2.77-2.92
Os 0.0000 0.2452 0.8892  4 Ti 2.71-3.01, 4 Os 2.76-2.97, 4 Sn 2.78-2.94

Calculated values
energy of formation	-0.067	eV per atom
space group	No. 38

***

[2]
Compound: SbH3Pd7
Source: the Alexandria database
Functional: GGA-PBE
Structure: optimized geometry

a = 5.0744 Å, b = 5.2924 Å, c = 5.2924 Å
α = 92.89°, β = 96.00°, γ = 96.00°
With the nearest neighbours (Å) after each atom.
Element x y z (fractional)
Sb 0.5000 0.5000 0.5000  8 Pd 2.54-2.81
Pd 0.7233 0.3494 0.9704  2 H 1.97-2.09
H 0.5000 0.0000 0.0000  6 Pd 1.95-2.09
Pd 0.2767 0.0296 0.6506  2 H 1.97-2.09
Pd 0.7233 0.9704 0.3494  2 H 1.97-2.09
Pd 0.2767 0.6506 0.0296  2 H 1.97-2.09
Pd 0.2162 0.1523 0.1523  3 H 1.91-1.95
Pd 0.0000 0.5000 0.5000  2 Sb 2.54, 2 H 2.58
H 0.0000 0.8363 0.1637  4 Pd 1.91-1.97
Pd 0.7838 0.8477 0.8477  3 H 1.91-1.95
H 0.0000 0.1637 0.8363  4 Pd 1.91-1.97

Calculated values
space group	No. 12
E	-51.88	eV for the cell shown

***

[3]
Compound: SmInSnHg
Source: the Alexandria database
Functional: GGA-PBE
Structure: optimized geometry

a = 4.6141 Å, b = 4.8263 Å, c = 4.5955 Å
α = 90.00°, β = 90.00°, γ = 90.00°
With the nearest neighbours (Å) after each atom.
Element x y z (fractional)
In 0.0000 0.0000 0.0000  4 Hg 3.26, 4 Sn 3.33, 4 Sm 3.34
Hg 0.5000 0.0000 0.5000  4 In 3.26, 4 Sm 3.33, 4 Sn 3.34
Sn 0.0000 0.5000 0.5000  4 Sm 3.26, 4 In 3.33, 4 Hg 3.34
Sm 0.5000 0.5000 0.0000  4 Sn 3.26, 4 Hg 3.33, 4 In 3.34

Calculated values
energy of formation	-0.474	eV per atom
space group	No. 47
relative energy among the computed polymorphs	0	meV per atom

***

[4]
Compound: NpAgSbO6
Source: the Alexandria database
Functional: GGA-PBE
Structure: optimized geometry

a = 5.5121 Å, b = 5.5121 Å, c = 10.2149 Å
α = 90.00°, β = 90.00°, γ = 120.00°
With the nearest neighbours (Å) after each atom.
Element x y z (fractional)
O 0.9894 0.6292 0.8574  1 Sb 2.03, 1 Np 2.11
O 0.0106 0.3708 0.1426  1 Sb 2.03, 1 Np 2.11
O 0.9894 0.3602 0.6426  1 Sb 2.03, 1 Np 2.11
O 0.0106 0.6398 0.3574  1 Sb 2.03, 1 Np 2.11
O 0.3602 0.3708 0.3574  1 Sb 2.03, 1 Np 2.11
Np 0.3333 0.6667 0.7500  6 O 2.11
Ag 0.0000 0.0000 0.0000  6 O 2.49
Ag 0.0000 0.0000 0.5000  6 O 2.49
O 0.6398 0.6292 0.6426  1 Sb 2.03, 1 Np 2.11
O 0.3602 0.9894 0.1426  1 Sb 2.03, 1 Np 2.11
O 0.6398 0.0106 0.8574  1 Sb 2.03, 1 Np 2.11
Sb 0.6667 0.3333 0.7500  6 O 2.03
O 0.3708 0.3602 0.8574  1 Sb 2.03, 1 Np 2.11
O 0.3708 0.0106 0.6426  1 Sb 2.03, 1 Np 2.11
Sb 0.3333 0.6667 0.2500  6 O 2.03
O 0.6292 0.9894 0.3574  1 Sb 2.03, 1 Np 2.11
Np 0.6667 0.3333 0.2500  6 O 2.11
O 0.6292 0.6398 0.1426  1 Sb 2.03, 1 Np 2.11

Calculated values
space group	No. 163
uncorrected formation energy	-14.74	eV/f.u.

***

[5]
Compound: BeCo3Re
Source: the Alexandria database
Functional: GGA-PBE
Structure: optimized geometry

a = 4.4023 Å, b = 4.4023 Å, c = 4.4023 Å
α = 90.00°, β = 90.00°, γ = 90.00°
With the nearest neighbours (Å) after each atom.
Element x y z (fractional)
Co 0.5000 0.0000 0.0000  2 Re 2.20
Co 0.0000 0.5000 0.0000  2 Re 2.20
Re 0.0000 0.0000 0.0000  6 Co 2.20
Be 0.5000 0.5000 0.5000  12 Co 3.11
Co 0.0000 0.0000 0.5000  2 Re 2.20

Calculated values
energy of formation	1.740	eV per atom
space group	No. 221
relative energy among the computed polymorphs	1186	meV per atom

***

[6]
Compound: PaGaBr
Source: the Alexandria database
Functional: GGA-PBE
Structure: optimized geometry

a = 3.4291 Å, b = 3.4291 Å, c = 15.1037 Å
α = 83.48°, β = 83.48°, γ = 60.00°
With the nearest neighbours (Å) after each atom.
Element x y z (fractional)
Pa 0.7400 0.7400 0.7799  3 Br 2.95, 3 Ga 3.11
Ga 0.3534 0.3534 0.9399  3 Ga 2.68
Pa 0.2600 0.2600 0.2201  3 Br 2.95, 3 Ga 3.11
Br 0.1221 0.1221 0.6337  3 Pa 2.95
Ga 0.6466 0.6466 0.0601  3 Ga 2.68
Br 0.8779 0.8779 0.3663  3 Pa 2.95

Calculated values
space group	No. 166
uncorrected formation energy	-1.75	eV/f.u.

***

[7]
Compound: CeZnNi
Source: the Alexandria database
Functional: GGA-PBE
Structure: optimized geometry

a = 3.8401 Å, b = 7.0601 Å, c = 7.0601 Å
α = 120.00°, β = 90.00°, γ = 90.00°
With the nearest neighbours (Å) after each atom.
Element x y z (fractional)
Ce 0.0000 0.0000 0.5842  5 Ni 2.86-2.94, 6 Zn 3.11-3.19
Ni 0.5000 0.6667 0.3333  3 Zn 2.76, 6 Ce 2.86
Ce 0.0000 0.5842 0.0000  5 Ni 2.86-2.94, 6 Zn 3.11-3.19
Zn 0.5000 0.0000 0.2371  4 Ni 2.55-2.76
Ni 0.0000 0.0000 0.0000  6 Zn 2.55
Zn 0.5000 0.2371 0.0000  4 Ni 2.55-2.76
Ni 0.5000 0.3333 0.6667  3 Zn 2.76, 6 Ce 2.86
Zn 0.5000 0.7629 0.7629  4 Ni 2.55-2.76
Ce 0.0000 0.4158 0.4158  5 Ni 2.86-2.94, 6 Zn 3.11-3.19

Calculated values
energy of formation	-0.400	eV per atom
space group	No. 189

***

[8]
Compound: ErTm8In6
Source: the Alexandria database
Functional: GGA-PBE
Structure: optimized geometry

a = 8.9171 Å, b = 8.9171 Å, c = 8.2468 Å
α = 57.27°, β = 57.27°, γ = 60.00°
With the nearest neighbours (Å) after each atom.
Element x y z (fractional)
In 0.6055 0.9390 0.1826  7 Tm 3.09-3.35, 1 Er 3.20
In 0.9390 0.2729 0.1826  7 Tm 3.09-3.35, 1 Er 3.20
Er 0.0000 0.0000 0.0000  6 In 3.20
Tm 0.6666 0.6666 0.0001  6 In 3.19-3.20
In 0.7271 0.3945 0.8174  7 Tm 3.09-3.35, 1 Er 3.20
Tm 0.7791 0.1125 0.6619  5 In 3.09-3.35
In 0.2729 0.6055 0.1826  7 Tm 3.09-3.35, 1 Er 3.20
Tm 0.4464 0.7791 0.6619  5 In 3.09-3.35
Tm 0.8875 0.5536 0.3381  5 In 3.09-3.35
In 0.3945 0.0610 0.8174  7 Tm 3.09-3.35, 1 Er 3.20
Tm 0.1125 0.4464 0.6619  5 In 3.09-3.35
In 0.0610 0.7271 0.8174  7 Tm 3.09-3.35, 1 Er 3.20
Tm 0.3334 0.3334 0.9999  6 In 3.19-3.20
Tm 0.2209 0.8875 0.3381  5 In 3.09-3.35
Tm 0.5536 0.2209 0.3381  5 In 3.09-3.35

Calculated values
energy of formation	-0.186	eV per atom
space group	No. 148

***

[9]
Compound: ScAlZn6Cu
Source: the Alexandria database
Functional: GGA-PBE
Structure: optimized geometry

a = 5.1213 Å, b = 9.1485 Å, c = 8.7507 Å
α = 121.52°, β = 107.02°, γ = 90.00°
With the nearest neighbours (Å) after each atom.
Element x y z (fractional)
Zn 0.4014 0.6514 0.8028  2 Al 2.67, 3 Sc 2.85-2.99, 4 Zn 2.90
Zn 0.0364 0.7864 0.0727  6 Zn 2.97-3.18, 1 Sc 3.15, 2 Cu 3.26
Al 0.5000 0.5000 0.0000  6 Zn 2.54-2.67
Zn 0.5956 0.3238 0.6881  1 Cu 2.48, 1 Al 2.54, 3 Zn 2.54-2.64
Zn 0.9075 0.6762 0.3119  1 Cu 2.48, 1 Al 2.54, 3 Zn 2.54-2.64
Zn 0.9075 0.1357 0.3119  1 Cu 2.48, 1 Al 2.54, 3 Zn 2.54-2.64
Zn 0.9636 0.2136 0.9273  6 Zn 2.97-3.18, 1 Sc 3.15, 2 Cu 3.26
Zn 0.5956 0.8643 0.6881  1 Cu 2.48, 1 Al 2.54, 3 Zn 2.54-2.64
Sc 0.8117 0.5617 0.6234  8 Zn 2.82-3.15, 2 Sc 3.09
Sc 0.1883 0.4383 0.3766  8 Zn 2.82-3.15, 2 Sc 3.09
Cu 0.0000 0.0000 0.5000  4 Zn 2.48, 2 Cu 2.56
Cu 0.5000 0.0000 0.5000  4 Zn 2.48, 2 Cu 2.56
Zn 0.5986 0.3486 0.1972  2 Al 2.67, 3 Sc 2.85-2.99, 4 Zn 2.90
Zn 0.4044 0.6762 0.3119  1 Cu 2.48, 1 Al 2.54, 3 Zn 2.54-2.64
Al 0.5000 0.0000 0.0000  6 Zn 2.54-2.67
Zn 0.0925 0.8643 0.6881  1 Cu 2.48, 1 Al 2.54, 3 Zn 2.54-2.64
Zn 0.0925 0.3238 0.6881  1 Cu 2.48, 1 Al 2.54, 3 Zn 2.54-2.64
Zn 0.4044 0.1357 0.3119  1 Cu 2.48, 1 Al 2.54, 3 Zn 2.54-2.64

Calculated values
energy of formation	0.172	eV per atom
space group	No. 74

***

[10]
Compound: Ce5O4
Source: the Alexandria database
Functional: GGA-PBE
Structure: optimized geometry

a = 3.3927 Å, b = 7.1219 Å, c = 7.1219 Å
α = 86.75°, β = 76.22°, γ = 76.22°
With the nearest neighbours (Å) after each atom.
Element x y z (fractional)
Ce 0.7641 0.8131 0.6587  1 O 2.29
Ce 0.2359 0.1869 0.3413  1 O 2.29
Ce 0.5772 0.6587 0.1869  1 O 2.29
O 0.2204 0.6611 0.8981  2 Ce 2.29-2.45
O 0.8815 0.8981 0.3389  2 Ce 2.29-2.45
O 0.1185 0.1019 0.6611  2 Ce 2.29-2.45
O 0.7796 0.3389 0.1019  2 Ce 2.29-2.45
Ce 0.4228 0.3413 0.8131  1 O 2.29
Ce 0.0000 0.0000 0.0000  4 O 2.45

Calculated values
space group	No. 87
uncorrected formation energy	-20.42	eV/f.u.